Below is a geometry-optimized PrInPdPb structure, with properties calculated at the PBE-GGA level.

Lattice parameters (Å, degrees): 5.2095 5.2095 5.2095 60.00 60.00 60.00
Last column: nearest neighbours and their distance in Å.
Positions (direct):
In 0.7500 0.7500 0.7500  4 Pb 3.19, 4 Pr 3.19
Pr 0.0000 0.0000 0.0000  4 In 3.19, 4 Pd 3.19
Pd 0.2500 0.2500 0.2500  4 Pb 3.19, 4 Pr 3.19
Pb 0.5000 0.5000 0.5000  4 Pd 3.19, 4 In 3.19

Output
uncorrected energy: -18.05 eV per cell
calculated volume: 25.0 Å³/atom